Entry 1:
The following is a DFT calculation (PBE-GGA) of an optimized crystal structure of Nd2HoTm3S6.

Output
Crystal system: monoclinic
Volume, Å³/cell: 257
Uncorrected formation energy, meV per atom: -1971
Total moment, μB per formula unit: 0.0

Cell and atoms, written as POSCAR:
```
Nd2HoTm3S6
1.0
8.587 -1.946 0.000
8.587 1.946 0.000
-1.975 0.000 7.690
Nd Ho Tm S
2 1 3 6
direct
0.168 0.168 0.335
0.832 0.832 0.665
0.500 0.500 0.000
0.169 0.169 0.833
0.500 0.500 0.500
0.831 0.831 0.167
0.005 0.005 0.750
0.333 0.333 0.931
0.339 0.339 0.405
0.661 0.661 0.595
0.667 0.667 0.069
0.995 0.995 0.250
```

Entry 2:
The following is a DFT calculation (PBE-GGA) of an optimized crystal structure of Sr2YTe.

Output
Crystal system: orthorhombic
Volume, Å³/cell: 149
Uncorrected formation energy, meV per atom: -424
Total moment, μB per formula unit: 0.1

Cell and atoms, written as POSCAR:
```
Sr2YTe
1.0
-2.078 2.841 6.314
2.078 -2.841 6.314
2.078 2.841 -6.314
Sr Y Te
2 1 1
direct
0.208 0.208 0.000
0.792 0.792 0.000
0.500 0.000 0.500
0.000 0.500 0.500
```

Question: Number 1 is which compound?
Answer: Nd2HoTm3S6